A plane-wave DFT calculation with PBE was carried out for crystalline Tb6NdHo2Tm3 at its relaxed geometry.

**M_tot**: 0.0 Bohr magnetons per cell
**Calculated formation energy**: 21.4 kJ/mol of formula units

Cell lengths 6.1429, 10.6300, 11.7436 Å; angles 90.00, 99.99, 90.00 degrees
Last column: nearest neighbours and their distance in Å.
Space group C2/m (No. 12)
Asymmetric unit:
Tb1 0.2481 0.1670 0.2473 [8 per cell]  3 Tm 3.51-3.52, 6 Tb 3.54-3.55, 2 Ho 3.56-3.57, 1 Nd 3.57
Tb2 0.2491 0.5000 0.2473 [4 per cell]  3 Tm 3.52, 6 Tb 3.54-3.55, 1 Nd 3.57, 2 Ho 3.57
Nd1 0.0000 0.5000 0.5000 [2 per cell]  6 Ho 3.54-3.55, 6 Tb 3.57
Ho1 0.0000 0.1667 0.5000 [4 per cell]  3 Ho 3.54-3.55, 3 Nd 3.54-3.55, 6 Tb 3.56-3.57
Tm1 0.0000 0.0000 0.0000 [2 per cell]  6 Tb 3.52, 6 Tm 3.54-3.55
Tm2 0.0000 0.3330 0.0000 [4 per cell]  6 Tb 3.51-3.52, 6 Tm 3.54-3.55

A plane-wave DFT calculation with PBE was carried out for crystalline Tb6Pr2Dy3Tl at its relaxed geometry.

**M_tot**: 0.0 Bohr magnetons per cell
**Calculated formation energy**: -36.8 kJ/mol of formula units

Cell lengths 6.1292, 10.6242, 11.8001 Å; angles 90.00, 100.03, 90.00 degrees
Last column: nearest neighbours and their distance in Å.
Space group C2/m (No. 12)
Asymmetric unit:
Tb1 0.2437 0.0000 0.2475 [4 per cell]  6 Tb 3.48-3.57, 3 Dy 3.52-3.55, 1 Tl 3.56, 2 Pr 3.58
Tb2 0.2471 0.1637 0.7513 [8 per cell]  6 Tb 3.48-3.57, 3 Dy 3.53-3.56, 1 Tl 3.54, 2 Pr 3.58
Pr1 0.0000 0.3338 0.5000 [4 per cell]  3 Pr 3.53-3.54, 3 Tl 3.54-3.55, 6 Tb 3.58
Dy1 0.0000 0.1668 0.0000 [4 per cell]  6 Tb 3.52-3.56, 6 Dy 3.54
Dy2 0.0000 0.5000 0.0000 [2 per cell]  6 Tb 3.53-3.55, 6 Dy 3.54
Tl1 0.0000 0.0000 0.5000 [2 per cell]  6 Pr 3.54-3.55, 6 Tb 3.54-3.56

A plane-wave DFT calculation with PBE was carried out for crystalline Pm2Si3SnPd4 at its relaxed geometry.

**M_tot**: 0.0 Bohr magnetons per cell
**Uncorrected formation energy**: -841 meV per atom

Cell lengths 4.2809, 4.2809, 10.3757 Å; angles 90.00, 90.00, 90.00 degrees
Last column: nearest neighbours and their distance in Å.
Space group P-4m2 (No. 115)
Asymmetric unit:
Pm1 0.0000 0.5000 0.2385 [2 per cell]  8 Pd 3.25-3.27, 6 Si 3.26-3.46, 2 Sn 3.46
Si1 0.0000 0.5000 0.8777 [2 per cell]  5 Pd 2.40-2.49
Si2 0.5000 0.5000 0.5000 [1 per cell]  4 Pd 2.63
Sn1 0.0000 0.0000 0.5000 [1 per cell]  4 Pd 2.63
Pd1 0.0000 0.0000 0.0000 [1 per cell]  4 Si 2.49
Pd2 0.0000 0.5000 0.6468 [2 per cell]  3 Si 2.40-2.63, 2 Sn 2.63
Pd3 0.5000 0.5000 0.0000 [1 per cell]  4 Si 2.49

A plane-wave DFT calculation with PBE was carried out for crystalline Cs5SiS4Cl2 at its relaxed geometry.

**M_tot**: 2.0 Bohr magnetons per cell
**Uncorrected formation energy**: -1301 meV per atom

Cell lengths 10.2527, 11.4824, 8.3054 Å; angles 90.00, 90.00, 90.00 degrees
Last column: nearest neighbours and their distance in Å.
Space group Amm2 (No. 38)
Asymmetric unit:
Cs1 0.0000 0.0000 0.0000 [2 per cell]  4 Cl 3.48-3.62, 2 S 3.52
Cs2 0.2663 0.1976 0.4730 [8 per cell]  2 Cl 3.47-3.50, 4 S 3.49-3.75
Si1 0.5000 0.0000 0.9872 [2 per cell]  4 S 2.11-2.18
S1 0.3276 0.0000 0.1255 [4 per cell]  1 Si 2.11
S2 0.5000 0.1253 0.7908 [4 per cell]  1 Si 2.18
Cl1 0.0000 0.2308 0.7277 [4 per cell]  6 Cs 3.47-3.62

Question: Look up the M_tot of the fourth one.
Answer: 2.0 Bohr magnetons per cell

Repeat the first record exactly.
A plane-wave DFT calculation with PBE was carried out for crystalline Tb6NdHo2Tm3 at its relaxed geometry.

**M_tot**: 0.0 Bohr magnetons per cell
**Calculated formation energy**: 21.4 kJ/mol of formula units

Cell lengths 6.1429, 10.6300, 11.7436 Å; angles 90.00, 99.99, 90.00 degrees
Last column: nearest neighbours and their distance in Å.
Space group C2/m (No. 12)
Asymmetric unit:
Tb1 0.2481 0.1670 0.2473 [8 per cell]  3 Tm 3.51-3.52, 6 Tb 3.54-3.55, 2 Ho 3.56-3.57, 1 Nd 3.57
Tb2 0.2491 0.5000 0.2473 [4 per cell]  3 Tm 3.52, 6 Tb 3.54-3.55, 1 Nd 3.57, 2 Ho 3.57
Nd1 0.0000 0.5000 0.5000 [2 per cell]  6 Ho 3.54-3.55, 6 Tb 3.57
Ho1 0.0000 0.1667 0.5000 [4 per cell]  3 Ho 3.54-3.55, 3 Nd 3.54-3.55, 6 Tb 3.56-3.57
Tm1 0.0000 0.0000 0.0000 [2 per cell]  6 Tb 3.52, 6 Tm 3.54-3.55
Tm2 0.0000 0.3330 0.0000 [4 per cell]  6 Tb 3.51-3.52, 6 Tm 3.54-3.55

What did the first record say?
A plane-wave DFT calculation with PBE was carried out for crystalline Tb6NdHo2Tm3 at its relaxed geometry.

**M_tot**: 0.0 Bohr magnetons per cell
**Calculated formation energy**: 21.4 kJ/mol of formula units

Cell lengths 6.1429, 10.6300, 11.7436 Å; angles 90.00, 99.99, 90.00 degrees
Last column: nearest neighbours and their distance in Å.
Space group C2/m (No. 12)
Asymmetric unit:
Tb1 0.2481 0.1670 0.2473 [8 per cell]  3 Tm 3.51-3.52, 6 Tb 3.54-3.55, 2 Ho 3.56-3.57, 1 Nd 3.57
Tb2 0.2491 0.5000 0.2473 [4 per cell]  3 Tm 3.52, 6 Tb 3.54-3.55, 1 Nd 3.57, 2 Ho 3.57
Nd1 0.0000 0.5000 0.5000 [2 per cell]  6 Ho 3.54-3.55, 6 Tb 3.57
Ho1 0.0000 0.1667 0.5000 [4 per cell]  3 Ho 3.54-3.55, 3 Nd 3.54-3.55, 6 Tb 3.56-3.57
Tm1 0.0000 0.0000 0.0000 [2 per cell]  6 Tb 3.52, 6 Tm 3.54-3.55
Tm2 0.0000 0.3330 0.0000 [4 per cell]  6 Tb 3.51-3.52, 6 Tm 3.54-3.55